A plane-wave DFT calculation with PBE was carried out for an optimized crystal structure of LiPmZn3.

Computed properties:
excess energy over the best structure of this formula in the dataset = 129 meV per atom
calculated volume = 18.932 A^3/atom
ΔH_f (0 K) = -96.3 meV/atom

```
LiPmZn3
1.0
4.5575 0.0000 0.0000
0.0000 4.5575 0.0000
0.0000 0.0000 4.5575
Zn Pm Li
3 1 1
direct
0.0000 0.0000 0.5000
0.5000 0.0000 0.0000
0.0000 0.5000 0.0000
0.5000 0.5000 0.5000
0.0000 0.0000 0.0000
```